(1)
Compound: BaTlPt2
Source: Alexandria via LeMat-Bulk
Functional: PBE
Structure: relaxed

Summary:
crystal system = trigonal
spin magnetization = 0.00 μB per formula unit
final energy = -4.557 eV/atom
energy of formation from the pure elements = -0.465 eV per atom

```
data_BaTlPt2
_chemical_formula_sum 'Ba3 Tl3 Pt6'
_space_group_name_H-M_alt 'R -3 m'
_space_group_IT_number 166
_space_group_name_Hall '-R 3 2"'
_cell_length_a 4.7724
_cell_length_b 4.7724
_cell_length_c 16.4869
_cell_angle_alpha 90.00
_cell_angle_beta 90.00
_cell_angle_gamma 120.00
loop_
_atom_site_label
_atom_site_type_symbol
_atom_site_fract_x
_atom_site_fract_y
_atom_site_fract_z
_atom_site_occupancy
Ba1 Ba 0.0000 0.0000 0.0000 1
Tl1 Tl 0.0000 0.0000 0.5000 1
Pt1 Pt 0.0000 0.0000 0.1953 1
```


(2)
Compound: Ba2Tl12Pt7
Source: Alexandria via LeMat-Bulk
Functional: PBE
Structure: relaxed

Summary:
crystal system = hexagonal
spin magnetization = 0.00 μB per formula unit
final energy = -3.770 eV/atom
energy of formation from the pure elements = -0.221 eV per atom

```
data_Ba2Tl12Pt7
_chemical_formula_sum 'Ba2 Tl12 Pt7'
_space_group_name_H-M_alt 'P -6'
_space_group_IT_number 174
_cell_length_a 11.7332
_cell_length_b 11.7332
_cell_length_c 4.4364
_cell_angle_alpha 90.00
_cell_angle_beta 90.00
_cell_angle_gamma 120.00
loop_
_space_group_symop_operation_xyz
'x,y,z'
'-x+y,-x,-z'
'-y,x-y,z'
'x,y,-z'
'-x+y,-x,z'
'-y,x-y,-z'
loop_
_atom_site_label
_atom_site_type_symbol
_atom_site_fract_x
_atom_site_fract_y
_atom_site_fract_z
_atom_site_occupancy
Ba1 Ba 0.0000 0.0000 0.0000 1
Ba2 Ba 0.3333 0.6667 0.5000 1
Tl1 Tl 0.0465 0.2761 0.5000 1
Tl2 Tl 0.1121 0.7102 0.0000 1
Tl3 Tl 0.3883 0.1828 0.0000 1
Tl4 Tl 0.5432 0.4308 0.5000 1
Pt1 Pt 0.0678 0.4496 0.0000 1
Pt2 Pt 0.2569 0.2225 0.5000 1
Pt3 Pt 0.6667 0.3333 0.0000 1
```


(3)
Compound: Ba2Tl2Pt
Source: Alexandria via LeMat-Bulk
Functional: PBE
Structure: relaxed

Summary:
crystal system = tetragonal
spin magnetization = 0.00 μB per formula unit
final energy = -3.172 eV/atom
energy of formation from the pure elements = -0.248 eV per atom
distance to the lowest polymorph of the same formula = 1.226 eV/f.u.

```
data_Ba2Tl2Pt
_chemical_formula_sum 'Ba4 Tl4 Pt2'
_space_group_name_H-M_alt 'P 4/m b m'
_space_group_IT_number 127
_space_group_name_Hall '-P 4 2ab'
_cell_length_a 7.778
_cell_length_b 7.778
_cell_length_c 5.436
_cell_angle_alpha 90.00
_cell_angle_beta 90.00
_cell_angle_gamma 90.00
loop_
_atom_site_label
_atom_site_type_symbol
_atom_site_fract_x
_atom_site_fract_y
_atom_site_fract_z
_atom_site_occupancy
Ba1 Ba 0.172 0.328 0.000 1
Tl1 Tl 0.143 0.643 0.500 1
Pt1 Pt 0.000 0.000 0.500 1
```


(4)
Compound: Ba2TlPt
Source: Alexandria via LeMat-Bulk
Functional: PBE
Structure: relaxed

Summary:
crystal system = orthorhombic
spin magnetization = 0.00 μB per formula unit
final energy = -3.478 eV/atom
energy of formation from the pure elements = -0.415 eV per atom
distance to the lowest polymorph of the same formula = 0.393 eV/f.u.

```
data_Ba2TlPt
_chemical_formula_sum 'Ba4 Tl2 Pt2'
_space_group_name_H-M_alt 'I m m 2'
_space_group_IT_number 44
_cell_length_a 3.994
_cell_length_b 5.436
_cell_length_c 12.727
_cell_angle_alpha 90.00
_cell_angle_beta 90.00
_cell_angle_gamma 90.00
loop_
_space_group_symop_operation_xyz
'x,y,z'
'-x,-y,z'
'-x,y,z'
'x,-y,z'
'x+1/2,y+1/2,z+1/2'
'-x+1/2,-y+1/2,z+1/2'
'-x+1/2,y+1/2,z+1/2'
'x+1/2,-y+1/2,z+1/2'
loop_
_atom_site_label
_atom_site_type_symbol
_atom_site_fract_x
_atom_site_fract_y
_atom_site_fract_z
_atom_site_occupancy
Ba1 Ba 0.000 0.000 0.000 1
Ba2 Ba 0.000 0.500 0.199 1
Tl1 Tl 0.000 0.000 0.384 1
Pt1 Pt 0.000 0.500 0.716 1
```


(5)
Compound: BaTl3Pt8
Source: Alexandria via LeMat-Bulk
Functional: PBE
Structure: relaxed

Summary:
crystal system = trigonal
spin magnetization = 0.00 μB per formula unit
final energy = -5.049 eV/atom
energy of formation from the pure elements = -0.270 eV per atom

```
data_BaTl3Pt8
_chemical_formula_sum 'Ba3 Tl9 Pt24'
_space_group_name_H-M_alt 'R 3 m'
_space_group_IT_number 160
_space_group_name_Hall 'R 3 -2"'
_cell_length_a 5.5409
_cell_length_b 5.5409
_cell_length_c 27.1106
_cell_angle_alpha 90.00
_cell_angle_beta 90.00
_cell_angle_gamma 120.00
loop_
_atom_site_label
_atom_site_type_symbol
_atom_site_fract_x
_atom_site_fract_y
_atom_site_fract_z
_atom_site_occupancy
Ba1 Ba 0.0000 0.0000 0.0000 1
Tl1 Tl 0.0000 0.0000 0.3820 1
Tl2 Tl 0.0000 0.0000 0.5024 1
Tl3 Tl 0.0000 0.0000 0.8724 1
Pt1 Pt 0.0000 0.0000 0.1877 1
Pt2 Pt 0.0000 0.0000 0.6878 1
Pt3 Pt 0.0034 0.5017 0.4400 1
Pt4 Pt 0.1674 0.3349 0.2685 1
```


(6)
Compound: BaTl2Pt
Source: Alexandria via LeMat-Bulk
Functional: PBE
Structure: relaxed

Summary:
crystal system = orthorhombic
spin magnetization = 0.00 μB per formula unit
final energy = -3.548 eV/atom
energy of formation from the pure elements = -0.374 eV per atom

```
data_BaTl2Pt
_chemical_formula_sum 'Ba2 Tl4 Pt2'
_space_group_name_H-M_alt 'C m m m'
_space_group_IT_number 65
_space_group_name_Hall '-C 2 2'
_cell_length_a 6.116
_cell_length_b 9.186
_cell_length_c 4.592
_cell_angle_alpha 90.00
_cell_angle_beta 90.00
_cell_angle_gamma 90.00
loop_
_atom_site_label
_atom_site_type_symbol
_atom_site_fract_x
_atom_site_fract_y
_atom_site_fract_z
_atom_site_occupancy
Ba1 Ba 0.000 0.000 0.000 1
Tl1 Tl 0.000 0.322 0.500 1
Pt1 Pt 0.000 0.500 0.000 1
```


(7)
Compound: Ba6Tl2Pt
Source: Alexandria via LeMat-Bulk
Functional: PBE
Structure: relaxed

Summary:
crystal system = monoclinic
spin magnetization = 1.36 μB per formula unit
final energy = -2.868 eV/atom
energy of formation from the pure elements = -0.389 eV per atom

```
data_Ba6Tl2Pt
_chemical_formula_sum 'Ba12 Tl4 Pt2'
_space_group_name_H-M_alt 'P 1 21/c 1'
_space_group_IT_number 14
_cell_length_a 8.162
_cell_length_b 9.017
_cell_length_c 14.365
_cell_angle_alpha 90.00
_cell_angle_beta 124.49
_cell_angle_gamma 90.00
loop_
_space_group_symop_operation_xyz
'x,y,z'
'-x,-y,-z'
'-x,y+1/2,-z+1/2'
'x,-y+1/2,z+1/2'
loop_
_atom_site_label
_atom_site_type_symbol
_atom_site_fract_x
_atom_site_fract_y
_atom_site_fract_z
_atom_site_occupancy
Ba1 Ba 0.111 0.194 0.439 1
Ba2 Ba 0.259 0.676 0.441 1
Ba3 Ba 0.369 0.028 0.250 1
Tl1 Tl 0.211 0.103 0.748 1
Pt1 Pt 0.000 0.000 0.000 1
```


(8)
Compound: Ba2TlPt
Source: Alexandria via LeMat-Bulk
Functional: PBE
Structure: relaxed

Summary:
crystal system = tetragonal
spin magnetization = 0.00 μB per formula unit
final energy = -3.327 eV/atom
energy of formation from the pure elements = -0.264 eV per atom
distance to the lowest polymorph of the same formula = 0.996 eV/f.u.

```
data_Ba2TlPt
_chemical_formula_sum 'Ba4 Tl2 Pt2'
_space_group_name_H-M_alt 'I -4 m 2'
_space_group_IT_number 119
_space_group_name_Hall 'I -4 -2'
_cell_length_a 4.876
_cell_length_b 4.876
_cell_length_c 10.943
_cell_angle_alpha 90.00
_cell_angle_beta 90.00
_cell_angle_gamma 90.00
loop_
_atom_site_label
_atom_site_type_symbol
_atom_site_fract_x
_atom_site_fract_y
_atom_site_fract_z
_atom_site_occupancy
Ba1 Ba 0.000 0.000 0.000 1
Ba2 Ba 0.000 0.500 0.250 1
Tl1 Tl 0.000 0.000 0.500 1
Pt1 Pt 0.000 0.500 0.750 1
```


(9)
Compound: Ba2TlPt
Source: Alexandria via LeMat-Bulk
Functional: PBE
Structure: relaxed

Summary:
crystal system = orthorhombic
spin magnetization = 0.00 μB per formula unit
final energy = -3.489 eV/atom
energy of formation from the pure elements = -0.426 eV per atom
distance to the lowest polymorph of the same formula = 0.349 eV/f.u.

```
data_Ba2TlPt
_chemical_formula_sum 'Ba4 Tl2 Pt2'
_space_group_name_H-M_alt 'C m m m'
_space_group_IT_number 65
_space_group_name_Hall '-C 2 2'
_cell_length_a 8.037
_cell_length_b 8.060
_cell_length_c 4.152
_cell_angle_alpha 90.00
_cell_angle_beta 90.00
_cell_angle_gamma 90.00
loop_
_atom_site_label
_atom_site_type_symbol
_atom_site_fract_x
_atom_site_fract_y
_atom_site_fract_z
_atom_site_occupancy
Ba1 Ba 0.250 0.250 0.000 1
Tl1 Tl 0.000 0.000 0.500 1
Pt1 Pt 0.000 0.500 0.500 1
```


(10)
Compound: Ba12Tl5Pt2
Source: Alexandria via LeMat-Bulk
Functional: PBE
Structure: relaxed

Summary:
crystal system = monoclinic
spin magnetization = 1.18 μB per formula unit
final energy = -2.808 eV/atom
energy of formation from the pure elements = -0.335 eV per atom

```
data_Ba12Tl5Pt2
_chemical_formula_sum 'Ba24 Tl10 Pt4'
_space_group_name_H-M_alt 'C 1 2/m 1'
_space_group_IT_number 12
_cell_length_a 19.349
_cell_length_b 9.278
_cell_length_c 11.046
_cell_angle_alpha 90.00
_cell_angle_beta 105.81
_cell_angle_gamma 90.00
loop_
_space_group_symop_operation_xyz
'x,y,z'
'-x,-y,-z'
'-x,y,-z'
'x,-y,z'
'x+1/2,y+1/2,z'
'-x+1/2,-y+1/2,-z'
'-x+1/2,y+1/2,-z'
'x+1/2,-y+1/2,z'
loop_
_atom_site_label
_atom_site_type_symbol
_atom_site_fract_x
_atom_site_fract_y
_atom_site_fract_z
_atom_site_occupancy
Ba1 Ba 0.002 0.000 0.298 1
Ba2 Ba 0.016 0.500 0.318 1
Ba3 Ba 0.151 0.261 0.067 1
Ba4 Ba 0.169 0.234 0.595 1
Tl1 Tl 0.000 0.500 0.000 1
Tl2 Tl 0.189 0.000 0.332 1
Tl3 Tl 0.191 0.000 0.860 1
Pt1 Pt 0.000 0.247 0.500 1
```